## LiErTeS (PBE-GGA)

Data for crystalline LiErTeS at its relaxed geometry.

Output
E_tot in eV per formula unit: -19.94
Space group: P6_3mc
Fermi-level density of states in states/eV per cell: 0.000
E_form (uncorrected) in eV per formula unit: -6.2
Calculated volume in Å³ per atom: 26.42
Spin magnetization in μB per cell: 0.000

a = 4.197 Å, b = 4.197 Å, c = 13.852 Å
α = 90.00°, β = 90.00°, γ = 120.00°
Atoms (fractional coordinates):
S 0.000 0.000 0.168
S 0.000 0.000 0.668
Er 0.333 0.667 0.255
Er 0.667 0.333 0.755
Te 0.667 0.333 0.396
Te 0.333 0.667 0.896
Li 0.000 0.000 0.994
Li 0.000 0.000 0.494